VASP calculation (GGA+U) on a relaxed structure of ZnMo2O4.

The structure in POSCAR format:
```
ZnMo2O4
1.0
-0.850 2.932 0.830
-3.821 -3.423 8.179
9.657 1.359 5.080
Zn Mo O
4 8 16
Cartesian
7.043 1.046 6.526
-2.058 -0.178 7.564
3.230 -0.933 9.615
1.756 1.802 4.475
3.639 1.669 6.872
0.324 0.498 1.585
4.662 0.370 12.505
1.347 -0.800 7.218
6.172 0.058 9.125
-1.186 0.811 4.965
5.630 1.424 3.745
-0.644 -0.555 10.345
1.414 -0.105 10.862
3.572 0.974 3.228
6.837 2.101 8.620
-1.851 -1.232 5.470
1.178 2.207 2.454
3.808 -1.338 11.637
-0.191 0.571 6.828
5.177 0.297 7.262
2.312 0.842 8.436
2.674 0.027 5.654
8.113 3.101 6.393
-3.127 -2.232 7.697
-0.195 -1.617 8.527
5.180 2.486 5.563
4.710 0.977 10.410
0.276 -0.108 3.680
```

Computed properties:
Electronic total energy   -6.431 eV/atom
Energy above the most stable polymorph in this dataset   3.66 kcal/mol of atoms
SG   Pnma (62)
Crystal system   orthorhombic
Magnetization   6.00 μB per formula unit